The following is a DFT calculation (meta-GGA SCAN) of YTa3 at its PBEsol-relaxed geometry.

```
YTa3
1.0
2.816 0.000 0.000
0.000 4.712 0.000
0.000 0.000 5.992
Y Ta
1 3
direct
0.000 0.000 0.000
0.000 0.000 0.500
0.500 0.500 0.273
0.500 0.500 0.727
```

---

Y5Ta (meta-GGA SCAN, single point on PBEsol structure); energy above the lowest structure with this stoichiometry = 0.000 eV/atom
1.0
5.988 0.000 0.000
-2.994 5.186 0.000
0.000 0.000 5.304
Y Ta
5 1
direct
0.000 0.309 0.000
0.309 0.000 0.000
0.333 0.667 0.500
0.667 0.333 0.500
0.691 0.691 0.000
0.000 0.000 0.500

---

Y2Ta3 (meta-GGA SCAN, single point on PBEsol structure); energy above the lowest structure with this stoichiometry = 0.000 eV/atom
1.0
1.532 0.885 12.948
-1.532 0.885 12.948
0.000 -1.769 12.948
Y Ta
2 3
direct
0.098 0.098 0.098
0.902 0.902 0.902
0.303 0.303 0.303
0.500 0.500 0.500
0.697 0.697 0.697

---

Y5Ta (meta-GGA SCAN, single point on PBEsol structure); energy above the lowest structure with this stoichiometry = 0.005 eV/atom
1.0
5.419 0.000 0.000
0.000 1.691 9.015
0.000 -1.691 9.015
Y Ta
5 1
direct
0.000 0.000 0.000
0.000 0.306 0.306
0.500 0.101 0.101
0.500 0.426 0.426
0.500 0.755 0.755
0.000 0.654 0.654

---

YTa (meta-GGA SCAN, single point on PBEsol structure); energy above the lowest structure with this stoichiometry = 0.000 eV/atom
1.0
3.310 0.000 0.000
-1.655 2.867 0.000
0.000 0.000 9.869
Y Ta
2 2
direct
0.333 0.667 0.346
0.667 0.333 0.654
0.333 0.667 0.902
0.667 0.333 0.098

---

YTa (meta-GGA SCAN, single point on PBEsol structure); energy above the lowest structure with this stoichiometry = 2.534 eV/atom
1.0
0.000 3.172 3.172
3.172 0.000 3.172
3.172 3.172 0.000
Y Ta
1 1
direct
0.000 0.000 0.000
0.250 0.250 0.250

---

| no. | calculated formation energy (eV per atom) |
| --- | --- |
| 1 | 0.46 |
| 2 | 0.25 |
| 3 | 0.59 |
| 4 | 0.26 |
| 5 | 0.47 |
| 6 | 3.00 |